Record 1
Density functional theory data (GGA-PBE) for DyErTm3 after structural relaxation.

```
DyErTm3
1.0
-2.001 8.855 -2.620
-5.692 0.413 3.307
0.213 -0.286 6.170
Er Tm Dy
2 6 2
direct
0.650 0.950 0.283 Er
0.350 0.450 0.717 Er
0.451 0.949 0.684 Tm
0.949 0.451 0.515 Tm
0.549 0.451 0.316 Tm
0.051 0.949 0.485 Tm
0.250 0.951 0.083 Tm
0.750 0.449 0.917 Tm
0.850 0.951 0.882 Dy
0.150 0.449 0.118 Dy
```

Computed properties:
- Formation energy from the elements: -1 meV/atom
- Relative energy among the computed polymorphs: 0 meV/atom

***

Record 2
Density functional theory data (GGA-PBE) for Dy4Er5Tm after structural relaxation.

```
Dy4Er5Tm
1.0
-1.504 0.194 3.179
-4.705 -2.541 -4.057
7.410 -12.058 0.416
Dy Er Tm
4 5 1
direct
0.113 0.295 0.192 Dy
0.887 0.705 0.808 Dy
0.639 0.174 0.789 Dy
0.361 0.826 0.211 Dy
0.228 0.125 0.416 Er
0.772 0.875 0.584 Er
0.932 0.581 0.385 Er
0.500 0.500 0.000 Er
0.068 0.419 0.615 Er
0.500 0.000 0.000 Tm
```

Computed properties:
- Formation energy from the elements: 56 meV/atom
- Relative energy among the computed polymorphs: 0 meV/atom

***

Record 3
Density functional theory data (GGA-PBE) for Dy2Er5Tm12 after structural relaxation.

```
Dy2Er5Tm12
1.0
-3.234 -4.416 7.229
5.179 -4.278 -5.984
6.735 2.268 4.398
Er Tm Dy
5 12 2
direct
0.767 0.534 0.424 Er
0.302 0.604 0.992 Er
0.000 0.000 0.500 Er
0.698 0.396 0.008 Er
0.233 0.466 0.576 Er
0.974 0.312 0.245 Tm
0.662 0.688 0.755 Tm
0.907 0.815 0.115 Tm
0.820 0.254 0.658 Tm
0.443 0.887 0.668 Tm
0.434 0.254 0.658 Tm
0.566 0.746 0.342 Tm
0.026 0.688 0.755 Tm
0.093 0.185 0.885 Tm
0.338 0.312 0.245 Tm
0.180 0.746 0.342 Tm
0.557 0.113 0.332 Tm
0.681 0.000 0.000 Dy
0.319 0.000 0.000 Dy
```

Computed properties:
- Formation energy from the elements: 130 meV/atom
- Relative energy among the computed polymorphs: 33 meV/atom

***

no.,spin magnetization (μB/cell)
1,0.00
2,0.00
3,0.00